(1)
# AlOs3O (PBE-GGA, optimized geometry)
# - E above lowest polymorph (meV per atom) = 1847
# - DOS(E_F) (states/eV/f.u.) = 4.9
# - space group = Pm-3m, No. 221
data_AlOs3O
_chemical_formula_sum 'Al1 Os3 O1'
_space_group_name_H-M_alt 'P 1'
_space_group_IT_number 1
_space_group_name_Hall 'P 1'
_cell_length_a 4.476
_cell_length_b 4.476
_cell_length_c 4.476
_cell_angle_alpha 90.00
_cell_angle_beta 90.00
_cell_angle_gamma 90.00
loop_
_atom_site_label
_atom_site_type_symbol
_atom_site_fract_x
_atom_site_fract_y
_atom_site_fract_z
O1 O 0.500 0.500 0.500
Os1 Os 0.000 0.500 0.000
Os2 Os 0.000 0.000 0.500
Os3 Os 0.500 0.000 0.000
Al1 Al 0.000 0.000 0.000

(2)
# AlOs3O (PBE-GGA, optimized geometry)
# - E above lowest polymorph (meV per atom) = 0
# - DOS(E_F) (states/eV/f.u.) = 2.9
# - space group = Pm-3m, No. 221
data_AlOs3O
_chemical_formula_sum 'Al1 Os3 O1'
_space_group_name_H-M_alt 'P 1'
_space_group_IT_number 1
_space_group_name_Hall 'P 1'
_cell_length_a 4.074
_cell_length_b 4.074
_cell_length_c 4.074
_cell_angle_alpha 90.00
_cell_angle_beta 90.00
_cell_angle_gamma 90.00
loop_
_atom_site_label
_atom_site_type_symbol
_atom_site_fract_x
_atom_site_fract_y
_atom_site_fract_z
Os1 Os 0.500 0.000 0.000
Os2 Os 0.000 0.000 0.500
Al1 Al 0.500 0.500 0.500
O1 O 0.000 0.000 0.000
Os3 Os 0.000 0.500 0.000

(3)
# AlOs2O6 (PBE-GGA, optimized geometry)
# - DOS(E_F) (states/eV/f.u.) = 4.6
# - space group = P321, No. 150
# - total DFT energy (no corrections) (eV/atom) = -7.673
data_AlOs2O6
_chemical_formula_sum 'Al3 Os6 O18'
_space_group_name_H-M_alt 'P 1'
_space_group_IT_number 1
_space_group_name_Hall 'P 1'
_cell_length_a 4.353
_cell_length_b 8.552
_cell_length_c 8.552
_cell_angle_alpha 120.00
_cell_angle_beta 90.00
_cell_angle_gamma 90.00
loop_
_atom_site_label
_atom_site_type_symbol
_atom_site_fract_x
_atom_site_fract_y
_atom_site_fract_z
O1 O 0.228 0.783 0.888
O2 O 0.772 0.895 0.112
O3 O 0.258 0.430 0.547
Al1 Al 0.000 0.000 0.000
Os1 Os 0.000 0.346 0.000
Os2 Os 0.500 0.680 0.000
Os3 Os 0.000 0.654 0.654
O4 O 0.742 0.883 0.453
O5 O 0.258 0.117 0.570
O6 O 0.228 0.112 0.895
Os4 Os 0.000 0.000 0.346
O7 O 0.273 0.449 0.214
O8 O 0.727 0.214 0.449
O9 O 0.742 0.570 0.117
O10 O 0.258 0.453 0.883
O11 O 0.727 0.551 0.765
O12 O 0.727 0.235 0.786
O13 O 0.772 0.888 0.783
Al2 Al 0.507 0.667 0.333
Al3 Al 0.493 0.333 0.667
O14 O 0.273 0.786 0.235
Os5 Os 0.500 0.000 0.680
O15 O 0.772 0.217 0.105
Os6 Os 0.500 0.320 0.320
O16 O 0.742 0.547 0.430
O17 O 0.228 0.105 0.217
O18 O 0.273 0.765 0.551

(4)
# AlOs2O (PBE-GGA, optimized geometry)
# - E above lowest polymorph (meV per atom) = 328
# - DOS(E_F) (states/eV/f.u.) = 2.7
# - space group = Fm-3m, No. 225
data_AlOs2O
_chemical_formula_sum 'Al1 Os2 O1'
_space_group_name_H-M_alt 'P 1'
_space_group_IT_number 1
_space_group_name_Hall 'P 1'
_cell_length_a 4.153
_cell_length_b 4.153
_cell_length_c 4.153
_cell_angle_alpha 60.00
_cell_angle_beta 60.00
_cell_angle_gamma 60.00
loop_
_atom_site_label
_atom_site_type_symbol
_atom_site_fract_x
_atom_site_fract_y
_atom_site_fract_z
Os1 Os 0.250 0.250 0.250
O1 O 0.000 0.000 0.000
Al1 Al 0.500 0.500 0.500
Os2 Os 0.750 0.750 0.750

(5)
# AlOsO4 (PBE-GGA, optimized geometry)
# - DOS(E_F) (states/eV/f.u.) = 3.0
# - space group = P2_1/c, No. 14
# - total DFT energy (no corrections) (eV/atom) = -7.566
data_AlOsO4
_chemical_formula_sum 'Al2 Os2 O8'
_space_group_name_H-M_alt 'P 1'
_space_group_IT_number 1
_space_group_name_Hall 'P 1'
_cell_length_a 4.517
_cell_length_b 5.425
_cell_length_c 5.393
_cell_angle_alpha 113.07
_cell_angle_beta 90.00
_cell_angle_gamma 90.00
loop_
_atom_site_label
_atom_site_type_symbol
_atom_site_fract_x
_atom_site_fract_y
_atom_site_fract_z
O1 O 0.697 0.158 0.853
O2 O 0.803 0.658 0.853
O3 O 0.307 0.356 0.657
O4 O 0.193 0.856 0.657
O5 O 0.693 0.644 0.343
Os1 Os 0.500 0.000 0.500
Al1 Al 0.000 0.000 0.000
Al2 Al 0.500 0.500 0.000
O6 O 0.197 0.342 0.147
O7 O 0.807 0.144 0.343
O8 O 0.303 0.842 0.147
Os2 Os 0.000 0.500 0.500

(6)
# AlOs2O (PBE-GGA, optimized geometry)
# - E above lowest polymorph (meV per atom) = 0
# - DOS(E_F) (states/eV/f.u.) = 3.2
# - space group = I-42d, No. 122
data_AlOs2O
_chemical_formula_sum 'Al2 Os4 O2'
_space_group_name_H-M_alt 'P 1'
_space_group_IT_number 1
_space_group_name_Hall 'P 1'
_cell_length_a 6.454
_cell_length_b 6.454
_cell_length_c 5.233
_cell_angle_alpha 51.93
_cell_angle_beta 51.93
_cell_angle_gamma 90.00
loop_
_atom_site_label
_atom_site_type_symbol
_atom_site_fract_x
_atom_site_fract_y
_atom_site_fract_z
O1 O 0.250 0.750 0.500
Os1 Os 0.533 0.125 0.250
Al1 Al 0.000 0.000 0.000
O2 O 0.500 0.500 0.000
Os2 Os 0.217 0.625 0.250
Al2 Al 0.750 0.250 0.500
Os3 Os 0.375 0.467 0.750
Os4 Os 0.875 0.783 0.750

(7)
# AlPOsO2 (PBE-GGA, optimized geometry)
# - E above lowest polymorph (meV per atom) = 0
# - DOS(E_F) (states/eV/f.u.) = 3.1
# - space group = P4/mmm, No. 123
data_AlPOsO2
_chemical_formula_sum 'Al1 P1 Os1 O2'
_space_group_name_H-M_alt 'P 1'
_space_group_IT_number 1
_space_group_name_Hall 'P 1'
_cell_length_a 3.438
_cell_length_b 3.438
_cell_length_c 6.782
_cell_angle_alpha 90.00
_cell_angle_beta 90.00
_cell_angle_gamma 90.00
loop_
_atom_site_label
_atom_site_type_symbol
_atom_site_fract_x
_atom_site_fract_y
_atom_site_fract_z
P1 P 0.000 0.000 0.500
O1 O 0.500 0.000 0.000
O2 O 0.000 0.500 0.000
Al1 Al 0.000 0.000 0.000
Os1 Os 0.500 0.500 0.500

(8)
# AlPOsO2 (PBE-GGA, optimized geometry)
# - E above lowest polymorph (meV per atom) = 14
# - DOS(E_F) (states/eV/f.u.) = 3.7
# - space group = P4/mmm, No. 123
data_AlPOsO2
_chemical_formula_sum 'Al1 P1 Os1 O2'
_space_group_name_H-M_alt 'P 1'
_space_group_IT_number 1
_space_group_name_Hall 'P 1'
_cell_length_a 3.753
_cell_length_b 3.753
_cell_length_c 5.306
_cell_angle_alpha 90.00
_cell_angle_beta 90.00
_cell_angle_gamma 90.00
loop_
_atom_site_label
_atom_site_type_symbol
_atom_site_fract_x
_atom_site_fract_y
_atom_site_fract_z
Al1 Al 0.500 0.500 0.500
Os1 Os 0.000 0.000 0.000
O1 O 0.000 0.500 0.000
O2 O 0.500 0.000 0.000
P1 P 0.000 0.000 0.500

(9)
# AlP2OsO (PBE-GGA, optimized geometry)
# - E above lowest polymorph (meV per atom) = 0
# - DOS(E_F) (states/eV/f.u.) = 5.2
# - space group = P4/mmm, No. 123
data_AlP2OsO
_chemical_formula_sum 'Al1 P2 Os1 O1'
_space_group_name_H-M_alt 'P 1'
_space_group_IT_number 1
_space_group_name_Hall 'P 1'
_cell_length_a 4.808
_cell_length_b 4.808
_cell_length_c 3.660
_cell_angle_alpha 90.00
_cell_angle_beta 90.00
_cell_angle_gamma 90.00
loop_
_atom_site_label
_atom_site_type_symbol
_atom_site_fract_x
_atom_site_fract_y
_atom_site_fract_z
Al1 Al 0.500 0.500 0.500
P1 P 0.000 0.500 0.000
O1 O 0.000 0.000 0.500
P2 P 0.500 0.000 0.000
Os1 Os 0.000 0.000 0.000

(10)
# AlP2OsO (PBE-GGA, optimized geometry)
# - E above lowest polymorph (meV per atom) = 194
# - DOS(E_F) (states/eV/f.u.) = 4.3
# - space group = P4/mmm, No. 123
data_AlP2OsO
_chemical_formula_sum 'Al1 P2 Os1 O1'
_space_group_name_H-M_alt 'P 1'
_space_group_IT_number 1
_space_group_name_Hall 'P 1'
_cell_length_a 4.782
_cell_length_b 4.782
_cell_length_c 3.265
_cell_angle_alpha 90.00
_cell_angle_beta 90.00
_cell_angle_gamma 90.00
loop_
_atom_site_label
_atom_site_type_symbol
_atom_site_fract_x
_atom_site_fract_y
_atom_site_fract_z
Al1 Al 0.000 0.000 0.000
P1 P 0.000 0.500 0.000
Os1 Os 0.500 0.500 0.500
P2 P 0.500 0.000 0.000
O1 O 0.000 0.000 0.500

(11)
# AlOsPtO2 (PBE-GGA, optimized geometry)
# - DOS(E_F) (states/eV/f.u.) = 2.3
# - space group = P4/mmm, No. 123
# - total DFT energy (no corrections) (eV/atom) = -6.640
data_AlOsPtO2
_chemical_formula_sum 'Al1 Os1 Pt1 O2'
_space_group_name_H-M_alt 'P 1'
_space_group_IT_number 1
_space_group_name_Hall 'P 1'
_cell_length_a 3.662
_cell_length_b 6.132
_cell_length_c 3.662
_cell_angle_alpha 90.00
_cell_angle_beta 90.00
_cell_angle_gamma 90.00
loop_
_atom_site_label
_atom_site_type_symbol
_atom_site_fract_x
_atom_site_fract_y
_atom_site_fract_z
O1 O 0.000 0.000 0.500
Os1 Os 0.000 0.000 0.000
Al1 Al 0.000 0.500 0.000
O2 O 0.500 0.000 0.000
Pt1 Pt 0.500 0.500 0.500

(12)
# RbAlOsO6 (PBE-GGA, optimized geometry)
# - space group = P312, No. 149
# - total DFT energy (no corrections) (eV/atom) = -6.679
data_RbAlOsO6
_chemical_formula_sum 'Rb1 Al1 Os1 O6'
_space_group_name_H-M_alt 'P 1'
_space_group_IT_number 1
_space_group_name_Hall 'P 1'
_cell_length_a 5.103
_cell_length_b 5.103
_cell_length_c 6.354
_cell_angle_alpha 90.00
_cell_angle_beta 90.00
_cell_angle_gamma 60.00
loop_
_atom_site_label
_atom_site_type_symbol
_atom_site_fract_x
_atom_site_fract_y
_atom_site_fract_z
Os1 Os 0.333 0.333 0.500
Al1 Al 0.667 0.667 0.500
O1 O 0.006 0.392 0.332
O2 O 0.601 0.006 0.332
O3 O 0.392 0.006 0.668
O4 O 0.601 0.392 0.668
O5 O 0.006 0.601 0.668
Rb1 Rb 0.000 0.000 0.000
O6 O 0.392 0.601 0.332